(1)
ScC3Se: optimized geometry, PBE.

Its relative energy among the computed polymorphs is 2.86 eV/f.u.

It has space group Pm-3m (No. 221), with a = 4.3115 Å, b = 4.3115 Å, c = 4.3115 Å, α = 90.00°, β = 90.00° and γ = 90.00°. Symmetry generates all atoms from Sc at (0.0000, 0.0000, 0.0000), C at (0.0000, 0.0000, 0.5000) and Se at (0.5000, 0.5000, 0.5000).

(2)
ScCSe: optimized geometry, PBE.

The total energy comes out at -7.0785 eV/atom.

It has space group P2_1/c (No. 14), with a = 9.7203 Å, b = 3.9493 Å, c = 6.6976 Å, α = 90.00°, β = 94.27° and γ = 90.00°. Symmetry generates all atoms from Sc at (0.1633, 0.0293, 0.3256), C at (0.0228, 0.6217, 0.4501) and Se at (0.3018, 0.5306, 0.1751).

(3)
Sc5CSe4: optimized geometry, PBE.

Its relative energy among the computed polymorphs is 0.00 eV/f.u.

It has space group I4/m (No. 87), with a = 8.5076 Å, b = 8.5076 Å, c = 5.3129 Å, α = 90.00°, β = 90.00° and γ = 90.00°. Symmetry generates all atoms from Sc at (0.0000, 0.0000, 0.0000), Sc at (0.0882, 0.7488, 0.5000), C at (0.0000, 0.0000, 0.5000) and Se at (0.0927, 0.6942, 0.0000).

(4)
Sc4CSe: optimized geometry, PBE.

Its relative energy among the computed polymorphs is 0.00 eV/f.u.

It has space group C2/c (No. 15), with a = 7.2695 Å, b = 13.5028 Å, c = 5.9915 Å, α = 90.00°, β = 124.24° and γ = 90.00°. Symmetry generates all atoms from Sc at (0.1925, 0.1909, 0.2254), Sc at (0.2114, 0.0574, 0.7088), C at (0.0000, 0.0627, 0.2500) and Se at (0.0000, 0.4206, 0.7500).

(5)
ScSnC2Se: optimized geometry, PBE.

The total energy comes out at -4.7511 eV/atom.

It has space group P4/mmm (No. 123), with a = 4.2404 Å, b = 4.2404 Å, c = 6.2692 Å, α = 90.00°, β = 90.00° and γ = 90.00°. Symmetry generates all atoms from Sc at (0.0000, 0.0000, 0.0000), Sn at (0.0000, 0.0000, 0.5000), C at (0.0000, 0.5000, 0.0000) and Se at (0.5000, 0.5000, 0.5000).

(6)
Sc2TlCSe: optimized geometry, PBE.

The total energy comes out at -5.6969 eV/atom.

It has space group P4/mmm (No. 123), with a = 4.6001 Å, b = 4.6001 Å, c = 4.7517 Å, α = 90.00°, β = 90.00° and γ = 90.00°. Symmetry generates all atoms from Sc at (0.0000, 0.5000, 0.0000), Tl at (0.0000, 0.0000, 0.5000), C at (0.0000, 0.0000, 0.0000) and Se at (0.5000, 0.5000, 0.5000).

(7)
TmScCSe: optimized geometry, PBE.

The total energy comes out at -6.9908 eV/atom.

It has space group R3m (No. 160, hexagonal axes), with a = 3.5839 Å, b = 3.5839 Å, c = 19.3127 Å, α = 90.00°, β = 90.00° and γ = 120.00°. Symmetry generates all atoms from Tm at (0.0000, 0.0000, 0.0000), Sc at (0.0000, 0.0000, 0.7977), C at (0.0000, 0.0000, 0.4023) and Se at (0.0000, 0.0000, 0.2272).

(8)
Y2Sc2CSe2: optimized geometry, PBE.

The total energy comes out at -7.0021 eV/atom.

It has space group C2/m (No. 12), with a = 12.9661 Å, b = 3.6638 Å, c = 6.8844 Å, α = 90.00°, β = 114.21° and γ = 90.00°. Symmetry generates all atoms from Y at (0.0246, 0.0000, 0.2812), Sc at (0.1898, 0.5000, 0.7117), C at (0.0000, 0.5000, 0.5000) and Se at (0.1407, 0.5000, 0.0688).